K2CrSe: relaxed, GGA-PBE.

a = 4.4593 Å, b = 4.4593 Å, c = 6.1866 Å
α = 90.00°, β = 90.00°, γ = 90.00°
Last column: nearest neighbours and their distance in Å.
Sites, in units of the cell vectors:
K1 0.0000 0.0000 0.2306  1 K 2.85
K2 0.0000 0.0000 0.7694  1 K 2.85
Cr1 0.5000 0.5000 0.5000  2 Se 3.09
Se1 0.5000 0.5000 0.0000  2 Cr 3.09, 8 K 3.46

Calculated values
energy: -14.974 eV/f.u.
theoretical density: 2823 kg/m3
V: 123 Å³/cell
ΔE_f (raw): 0.3 eV/f.u.